No. 1
The following is a GGA-PBE calculation of a geometry-optimized FeAu3 structure, from the Alexandria database.

abc: 2.8395 2.7836 8.9109
angles: 90.00 90.00 90.00
Fractional positions:
1 Au 0.0000 0.5000 0.4629
2 Au 0.5000 0.0000 0.7200
3 Au 0.5000 0.5000 0.1807
4 Fe 0.0000 0.0000 0.9697

**Total moment**: 3.1 μB per cell
**Energy relative to the elements**: 0.182 eV per atom

***

No. 2
The following is a GGA-PBE calculation of a geometry-optimized Ba2TmCuO5 structure, from the Alexandria database.

abc: 3.5657 7.8306 11.1186
angles: 90.00 90.00 103.16
Fractional positions:
1 Ba 0.8702 0.7404 0.8315
2 Ba 0.1164 0.2328 0.6861
3 Ba 0.1298 0.2596 0.3315
4 Ba 0.8836 0.7672 0.1861
5 Cu 0.4472 0.8943 0.4376
6 Cu 0.5528 0.1057 0.9376
7 O 0.6619 0.3238 0.5107
8 O 0.5007 0.0014 0.2846
9 O 0.4993 0.9986 0.7846
10 O 0.2991 0.5982 0.6540
11 O 0.9557 0.9115 0.4966
12 O 0.0443 0.0885 0.9966
13 O 0.3381 0.6762 0.0107
14 O 0.3216 0.6432 0.3925
15 O 0.6784 0.3568 0.8925
16 O 0.7009 0.4018 0.1540
17 Tm 0.2002 0.4005 0.0303
18 Tm 0.7998 0.5995 0.5303

**Formation energy (no corrections)**: -2.232 eV/atom
**Total moment**: 4.1 μB per cell

***

No. 3
The following is a GGA-PBE calculation of a geometry-optimized PuCdHgSb structure, from the Alexandria database.

abc: 5.2600 5.2600 5.2600
angles: 60.00 60.00 60.00
Fractional positions:
1 Pu 0.7500 0.7500 0.7500
2 Sb 0.0000 0.0000 0.0000
3 Hg 0.5000 0.5000 0.5000
4 Cd 0.2500 0.2500 0.2500

**Formation energy (no corrections)**: -0.209 eV/atom
**Total moment**: 5.8 μB per cell

***

No. 4
The following is a GGA-PBE calculation of a geometry-optimized ScTl2TcO6 structure, from the Alexandria database.

abc: 5.4502 6.4763 6.4763
angles: 120.00 90.00 90.00
Fractional positions:
1 O 0.2174 0.2677 0.1339
2 O 0.7826 0.1339 0.2677
3 O 0.2174 0.8661 0.7323
4 O 0.2174 0.8661 0.1339
5 O 0.7826 0.1339 0.8661
6 O 0.7826 0.7323 0.8661
7 Sc 0.5000 0.0000 0.0000
8 Tl 0.0233 0.3333 0.6667
9 Tl 0.9767 0.6667 0.3333
10 Tc 0.0000 0.0000 0.0000

**Formation energy (no corrections)**: -1.498 eV/atom
**Total moment**: 0.0 μB per cell

***

No. 5
The following is a GGA-PBE calculation of a geometry-optimized CePrRhAu structure, from the Alexandria database.

abc: 5.1297 5.1297 5.1297
angles: 60.00 60.00 60.00
Fractional positions:
1 Pr 0.5000 0.5000 0.5000
2 Ce 0.0000 0.0000 0.0000
3 Au 0.7500 0.7500 0.7500
4 Rh 0.2500 0.2500 0.2500

**Total moment**: 0.9 μB per cell
**Energy relative to the elements**: -0.610 eV per atom

***

No. 6
The following is a GGA-PBE calculation of a geometry-optimized CrSiH structure, from the Alexandria database.

abc: 2.9605 4.4760 4.6000
angles: 87.80 108.79 89.98
Fractional positions:
1 H 0.1431 0.0678 0.2855
2 H 0.8569 0.9322 0.7145
3 Si 0.4284 0.2799 0.8565
4 Si 0.5716 0.7201 0.1435
5 Cr 0.7127 0.2325 0.4251
6 Cr 0.2873 0.7675 0.5749

**Total moment**: 1.3 μB per cell
**Total energy**: -6.131 eV/atom

***

No. 7
The following is a GGA-PBE calculation of a geometry-optimized Ac2ScAlO6 structure, from the Alexandria database.

abc: 4.0348 4.0348 7.9238
angles: 90.00 90.00 90.00
Fractional positions:
1 O 0.0000 0.5000 0.5000
2 O 0.5000 0.5000 0.2662
3 O 0.5000 0.5000 0.7338
4 O 0.0000 0.5000 0.0000
5 O 0.5000 0.0000 0.5000
6 O 0.5000 0.0000 0.0000
7 Sc 0.5000 0.5000 0.0000
8 Ac 0.0000 0.0000 0.2584
9 Ac 0.0000 0.0000 0.7416
10 Al 0.5000 0.5000 0.5000

**Formation energy (no corrections)**: -3.336 eV/atom
**Total moment**: 0.0 μB per cell

***

No. 8
The following is a GGA-PBE calculation of a geometry-optimized Na3Tl3Sn2 structure, from the Alexandria database.

abc: 6.0934 6.0934 6.0934
angles: 89.83 89.83 90.17
Fractional positions:
1 Sn 0.2451 0.2451 0.7549
2 Sn 0.7549 0.7549 0.2451
3 Na 0.5000 0.2470 0.2470
4 Na 0.2470 0.7530 0.5000
5 Na 0.7530 0.5000 0.7530
6 Tl 0.7465 0.0000 0.7465
7 Tl 0.0000 0.2535 0.2535
8 Tl 0.2535 0.7465 0.0000

**Total moment**: 0.0 μB per cell
**Energy relative to the elements**: -0.108 eV per atom

***

No. 9
The following is a GGA-PBE calculation of a geometry-optimized Re2RuRh structure, from the Alexandria database.

abc: 4.3782 4.3782 4.3782
angles: 60.00 60.00 60.00
Fractional positions:
1 Rh 0.5000 0.5000 0.5000
2 Ru 0.0000 0.0000 0.0000
3 Re 0.7500 0.7500 0.7500
4 Re 0.2500 0.2500 0.2500

**Total moment**: 0.0 μB per cell
**Energy relative to the elements**: 0.545 eV per atom

***

No. 10
The following is a GGA-PBE calculation of a geometry-optimized TaSe2Cl2 structure, from the Alexandria database.

abc: 6.3846 7.9578 6.5794
angles: 81.36 60.97 71.97
Fractional positions:
1 Se 0.1160 0.2096 0.0000
2 Se 0.6442 0.6233 0.0000
3 Se 0.3558 0.3767 0.0000
4 Se 0.8840 0.7904 0.0000
5 Ta 0.8711 0.5000 0.2578
6 Ta 0.1289 0.5000 0.7422
7 Cl 0.5559 0.3113 0.4250
8 Cl 0.4441 0.6887 0.5750
9 Cl 0.0191 0.6887 0.4250
10 Cl 0.9809 0.3113 0.5750

**Formation energy (no corrections)**: -0.886 eV/atom
**Total moment**: 0.0 μB per cell

***

No. 11
The following is a GGA-PBE calculation of a geometry-optimized Ce3PrEr2Te6 structure, from the Alexandria database.

abc: 7.6514 7.6514 7.7618
angles: 99.45 99.45 120.02
Fractional positions:
1 Te 0.0817 0.4261 0.2439
2 Te 0.4261 0.0817 0.2439
3 Te 0.2670 0.2670 0.7644
4 Te 0.9183 0.5739 0.7561
5 Te 0.7330 0.7330 0.2356
6 Te 0.5739 0.9183 0.7561
7 Er 0.3317 0.6683 0.0000
8 Er 0.6683 0.3317 0.0000
9 Ce 0.8409 0.1591 0.5000
10 Ce 0.1591 0.8409 0.5000
11 Ce 0.5000 0.5000 0.5000
12 Pr 0.0000 0.0000 0.0000

**Formation energy (no corrections)**: -1.338 eV/atom
**Total moment**: 3.5 μB per cell

***

No. 12
The following is a GGA-PBE calculation of a geometry-optimized Zr2CrSbW structure, from the Alexandria database.

abc: 5.2018 4.8650 5.2018
angles: 90.00 90.00 90.00
Fractional positions:
1 W 0.0000 0.5000 0.0000
2 Zr 0.0000 0.0000 0.5000
3 Zr 0.5000 0.0000 0.0000
4 Cr 0.5000 0.5000 0.5000
5 Sb 0.0000 0.0000 0.0000

**Formation energy (no corrections)**: 1.892 eV/atom
**Total moment**: 0.2 μB per cell

***

No. 13
The following is a GGA-PBE calculation of a geometry-optimized Rb9Br3O2 structure, from the Alexandria database.

abc: 8.0013 8.0013 11.0401
angles: 90.00 90.00 120.00
Fractional positions:
1 Rb 0.6548 0.8274 0.7056
2 Rb 0.3452 0.1726 0.2944
3 Rb 0.0000 0.5000 0.0000
4 Rb 0.8274 0.6548 0.2944
5 Rb 0.5000 0.0000 0.0000
6 Rb 0.1726 0.8274 0.7056
7 Rb 0.8274 0.1726 0.2944
8 Rb 0.5000 0.5000 0.0000
9 Rb 0.1726 0.3452 0.7056
10 O 0.3333 0.6667 0.8363
11 O 0.6667 0.3333 0.1637
12 Br 0.0000 0.0000 0.0000
13 Br 0.6667 0.3333 0.7558
14 Br 0.3333 0.6667 0.2442

**Formation energy (no corrections)**: -1.103 eV/atom
**Total moment**: 0.0 μB per cell

***

No. 14
The following is a GGA-PBE calculation of a geometry-optimized YP3I structure, from the Alexandria database.

abc: 5.3419 5.3419 5.3419
angles: 90.00 90.00 90.00
Fractional positions:
1 I 0.5000 0.5000 0.5000
2 P 0.0000 0.5000 0.0000
3 P 0.0000 0.0000 0.5000
4 P 0.5000 0.0000 0.0000
5 Y 0.0000 0.0000 0.0000

**Formation energy (no corrections)**: 0.740 eV/atom
**Total moment**: 0.0 μB per cell

***

No. 15
The following is a GGA-PBE calculation of a geometry-optimized CaZnCd2Cu structure, from the Alexandria database.

abc: 4.9993 4.7264 4.9993
angles: 90.00 90.00 90.00
Fractional positions:
1 Cu 0.0000 0.0000 0.0000
2 Ca 0.5000 0.5000 0.5000
3 Cd 0.5000 0.0000 0.0000
4 Cd 0.0000 0.0000 0.5000
5 Zn 0.0000 0.5000 0.0000

**Total moment**: 0.0 μB per cell
**Energy relative to the elements**: -0.035 eV per atom

***

No. 16
The following is a GGA-PBE calculation of a geometry-optimized YCoGe2B structure, from the Alexandria database.

abc: 4.2165 4.7883 4.2165
angles: 90.00 90.00 90.00
Fractional positions:
1 B 0.0000 0.0000 0.0000
2 Y 0.0000 0.5000 0.0000
3 Ge 0.5000 0.0000 0.0000
4 Ge 0.0000 0.0000 0.5000
5 Co 0.5000 0.5000 0.5000

**Total moment**: 0.0 μB per cell
**Energy relative to the elements**: 0.469 eV per atom

***

No. 17
The following is a GGA-PBE calculation of a geometry-optimized NpHgBi2 structure, from the Alexandria database.

abc: 4.7621 4.7621 9.2802
angles: 75.13 75.13 60.00
Fractional positions:
1 Bi 0.8927 0.8927 0.3220
2 Bi 0.1073 0.1073 0.6780
3 Hg 0.0000 0.0000 0.0000
4 Np 0.5000 0.5000 0.5000

**Total moment**: 3.4 μB per cell
**Energy relative to the elements**: 0.380 eV per atom

***

No. 18
The following is a GGA-PBE calculation of a geometry-optimized YTm3Al4 structure, from the Alexandria database.

abc: 5.0439 7.1152 10.0882
angles: 90.00 90.00 90.00
Fractional positions:
1 Tm 0.5010 0.0000 0.2500
2 Tm 0.5008 0.5000 0.2500
3 Tm 0.4992 0.5000 0.7500
4 Tm 0.4990 0.0000 0.7500
5 Tm 0.0000 0.0000 0.5000
6 Tm 0.0000 0.0000 0.0000
7 Y 0.0000 0.5000 0.5000
8 Y 0.0000 0.5000 0.0000
9 Al 0.9989 0.2468 0.7500
10 Al 0.0011 0.7532 0.2500
11 Al 0.5000 0.2468 0.0000
12 Al 0.9989 0.7532 0.7500
13 Al 0.0011 0.2468 0.2500
14 Al 0.5000 0.7532 0.5000
15 Al 0.5000 0.2468 0.5000
16 Al 0.5000 0.7532 0.0000

**Total moment**: 0.0 μB per cell
**Energy relative to the elements**: -0.395 eV per atom

***

No. 19
The following is a GGA-PBE calculation of a geometry-optimized Zn8Pd3Au structure, from the Alexandria database.

abc: 8.8980 9.0735 8.8980
angles: 33.34 121.59 146.66
Fractional positions:
1 Pd 0.2454 0.5004 0.2450
2 Pd 0.7551 0.5004 0.7547
3 Pd 0.4998 0.9998 0.5001
4 Zn 0.2258 0.7720 0.2816
5 Zn 0.5293 0.7133 0.4707
6 Zn 0.7184 0.7720 0.7742
7 Zn 0.4700 0.2856 0.5300
8 Zn 0.7749 0.2291 0.7178
9 Zn 0.2822 0.2291 0.2251
10 Zn 0.9889 0.3074 0.0112
11 Zn 0.0104 0.6913 0.9896
12 Au 0.9998 0.9997 0.0001

**Total moment**: 0.0 μB per cell
**Energy relative to the elements**: -0.304 eV per atom

***

No. 20
The following is a GGA-PBE calculation of a geometry-optimized YMnS2N structure, from the Alexandria database.

abc: 4.7300 4.7300 3.5653
angles: 90.00 90.00 90.00
Fractional positions:
1 Mn 0.0000 0.0000 0.0000
2 N 0.0000 0.0000 0.5000
3 S 0.0000 0.5000 0.0000
4 S 0.5000 0.0000 0.0000
5 Y 0.5000 0.5000 0.5000

**Formation energy (no corrections)**: -0.778 eV/atom
**Total moment**: 1.6 μB per cell

***

No. 21
The following is a GGA-PBE calculation of a geometry-optimized Ca2AlIn structure, from the Alexandria database.

abc: 5.9509 5.9509 5.9509
angles: 133.07 133.07 68.54
Fractional positions:
1 Ca 0.2500 0.7500 0.5000
2 Ca 0.0000 0.0000 0.0000
3 In 0.5000 0.5000 0.0000
4 Al 0.7500 0.2500 0.5000

**Total moment**: 0.0 μB per cell
**Energy relative to the elements**: -0.175 eV per atom

***

No. 22
The following is a GGA-PBE calculation of a geometry-optimized K2BaBe structure, from the Alexandria database.

abc: 5.1245 5.1245 14.8282
angles: 80.05 80.05 90.00
Fractional positions:
1 Be 0.2500 0.7500 0.5000
2 Be 0.5000 0.5000 0.0000
3 Ba 0.7500 0.2500 0.5000
4 Ba 0.0000 0.0000 0.0000
5 K 0.8750 0.8456 0.7500
6 K 0.3750 0.4044 0.7500
7 K 0.1544 0.6250 0.2500
8 K 0.5956 0.1250 0.2500

**Total moment**: 0.0 μB per cell
**Energy relative to the elements**: 0.665 eV per atom

***

No. 23
The following is a GGA-PBE calculation of a geometry-optimized Zr2AlCo5B2 structure, from the Alexandria database.

abc: 3.0867 8.7041 8.7041
angles: 90.00 90.00 90.00
Fractional positions:
1 Co 0.5000 0.7755 0.9316
2 Co 0.5000 0.9316 0.2245
3 Co 0.5000 0.7245 0.4316
4 Co 0.5000 0.0000 0.5000
5 Co 0.5000 0.0684 0.7755
6 Co 0.5000 0.5684 0.7245
7 Co 0.5000 0.2245 0.0684
8 Co 0.5000 0.2755 0.5684
9 Co 0.5000 0.4316 0.2755
10 Co 0.5000 0.5000 0.0000
11 Zr 0.0000 0.6774 0.1774
12 Zr 0.0000 0.3226 0.8226
13 Zr 0.0000 0.8226 0.6774
14 Zr 0.0000 0.1774 0.3226
15 Al 0.0000 0.0000 0.0000
16 Al 0.0000 0.5000 0.5000
17 B 0.0000 0.8809 0.3809
18 B 0.0000 0.3809 0.1191
19 B 0.0000 0.1191 0.6191
20 B 0.0000 0.6191 0.8809

**Total moment**: 0.0 μB per cell
**Energy relative to the elements**: -0.580 eV per atom

***

No. 24
The following is a GGA-PBE calculation of a geometry-optimized Cu2PtF6 structure, from the Alexandria database.

abc: 5.5631 6.9019 6.9019
angles: 73.62 77.45 77.45
Fractional positions:
1 Cu 0.3925 0.4826 0.7891
2 Cu 0.8925 0.7891 0.4826
3 Cu 0.6075 0.5174 0.2109
4 Cu 0.1075 0.2109 0.5174
5 F 0.6296 0.6445 0.6267
6 F 0.1664 0.2966 0.9617
7 F 0.8336 0.7034 0.0383
8 F 0.1296 0.6267 0.6445
9 F 0.6664 0.9617 0.2966
10 F 0.6610 0.3132 0.9482
11 F 0.1610 0.9482 0.3132
12 F 0.8390 0.0518 0.6868
13 F 0.8704 0.3733 0.3555
14 F 0.3390 0.6868 0.0518
15 F 0.3704 0.3555 0.3733
16 F 0.3336 0.0383 0.7034
17 Pt 0.7500 0.0069 0.9931
18 Pt 0.2500 0.9931 0.0069

**Formation energy (no corrections)**: -1.330 eV/atom
**Total moment**: 0.0 μB per cell